First-principles (PBE) data for a relaxed MgMo3 crystal, as listed in Alexandria via LeMat-Bulk.

```
data_MgMo3
_cell_length_a 5.0434
_cell_length_b 5.0434
_cell_length_c 5.0434
_cell_angle_alpha 90.00
_cell_angle_beta 90.00
_cell_angle_gamma 90.00
_space_group_name_H-M_alt 'P m -3 n'
_space_group_IT_number 223
_space_group_name_Hall '-P 4n 2 3'
loop_
_atom_site_label
_atom_site_fract_x
_atom_site_fract_y
_atom_site_fract_z
Mg1 0.0000 0.0000 0.0000
Mo1 0.0000 0.2500 0.5000
```



First-principles (PBE) data for a relaxed Mg2Mo3 crystal, as listed in Alexandria via LeMat-Bulk.

```
data_Mg2Mo3
_cell_length_a 2.9642
_cell_length_b 2.9642
_cell_length_c 35.2342
_cell_angle_alpha 90.00
_cell_angle_beta 90.00
_cell_angle_gamma 120.00
_space_group_name_H-M_alt 'R -3 m'
_space_group_IT_number 166
_space_group_name_Hall '-R 3 2"'
loop_
_atom_site_label
_atom_site_fract_x
_atom_site_fract_y
_atom_site_fract_z
Mg1 0.0000 0.0000 0.0979
Mo1 0.0000 0.0000 0.3071
Mo2 0.0000 0.0000 0.5000
```



First-principles (PBE) data for a relaxed MgMo3 crystal, as listed in Alexandria via LeMat-Bulk.

```
data_MgMo3
_cell_length_a 2.7015
_cell_length_b 4.5150
_cell_length_c 5.4079
_cell_angle_alpha 90.00
_cell_angle_beta 100.24
_cell_angle_gamma 90.00
_space_group_name_H-M_alt 'P 1 2/m 1'
_space_group_IT_number 10
loop_
_space_group_symop_operation_xyz
'x,y,z'
'-x,-y,-z'
'-x,y,-z'
'x,-y,z'
loop_
_atom_site_label
_atom_site_fract_x
_atom_site_fract_y
_atom_site_fract_z
Mg1 0.0000 0.0000 0.0000
Mo1 0.2686 0.5000 0.7458
Mo2 0.5000 0.0000 0.5000
```



First-principles (PBE) data for a relaxed MgMo3 crystal, as listed in Alexandria via LeMat-Bulk.

```
data_MgMo3
_cell_length_a 4.0162
_cell_length_b 4.0162
_cell_length_c 4.0162
_cell_angle_alpha 90.00
_cell_angle_beta 90.00
_cell_angle_gamma 90.00
_space_group_name_H-M_alt 'P m -3 m'
_space_group_IT_number 221
_space_group_name_Hall '-P 4 2 3'
loop_
_atom_site_label
_atom_site_fract_x
_atom_site_fract_y
_atom_site_fract_z
Mg1 0.0000 0.0000 0.0000
Mo1 0.0000 0.5000 0.5000
```



First-principles (PBE) data for a relaxed MgMo crystal, as listed in Alexandria via LeMat-Bulk.

```
data_MgMo
_cell_length_a 4.3091
_cell_length_b 4.3091
_cell_length_c 9.8402
_cell_angle_alpha 90.00
_cell_angle_beta 90.00
_cell_angle_gamma 120.00
_space_group_name_H-M_alt 'P 63/m m c'
_space_group_IT_number 194
_space_group_name_Hall '-P 6c 2c'
loop_
_atom_site_label
_atom_site_fract_x
_atom_site_fract_y
_atom_site_fract_z
Mg1 0.3333 0.6667 0.0774
Mo1 0.0000 0.0000 0.2500
Mo2 0.3333 0.6667 0.7500
```



First-principles (PBE) data for a relaxed MgMo3 crystal, as listed in Alexandria via LeMat-Bulk.

```
data_MgMo3
_cell_length_a 4.5821
_cell_length_b 5.4981
_cell_length_c 5.2221
_cell_angle_alpha 90.00
_cell_angle_beta 90.00
_cell_angle_gamma 90.00
_space_group_name_H-M_alt 'P m m n'
_space_group_IT_number 59
loop_
_space_group_symop_operation_xyz
'x,y,z'
'-x,-y,-z'
'-x+1/2,-y+1/2,z'
'x+1/2,y+1/2,-z'
'x+1/2,-y,-z'
'-x+1/2,y,z'
'-x,y+1/2,-z'
'x,-y+1/2,z'
loop_
_atom_site_label
_atom_site_fract_x
_atom_site_fract_y
_atom_site_fract_z
Mg1 0.2500 0.2500 0.1500
Mo1 0.2500 0.0179 0.6464
Mo2 0.2500 0.7500 0.1581
```



First-principles (PBE) data for a relaxed MgMo crystal, as listed in Alexandria via LeMat-Bulk.

```
data_MgMo
_cell_length_a 9.2565
_cell_length_b 4.4861
_cell_length_c 6.7130
_cell_angle_alpha 90.00
_cell_angle_beta 90.00
_cell_angle_gamma 90.00
_space_group_name_H-M_alt 'P n m a'
_space_group_IT_number 62
loop_
_space_group_symop_operation_xyz
'x,y,z'
'-x,-y,-z'
'-x+1/2,-y,z+1/2'
'x+1/2,y,-z+1/2'
'x+1/2,-y+1/2,-z+1/2'
'-x+1/2,y+1/2,z+1/2'
'-x,y+1/2,-z'
'x,-y+1/2,z'
loop_
_atom_site_label
_atom_site_fract_x
_atom_site_fract_y
_atom_site_fract_z
Mg1 0.1272 0.2500 0.2472
Mg2 0.1286 0.7500 0.9912
Mo1 0.1126 0.2500 0.7114
Mo2 0.1227 0.7500 0.4999
```



First-principles (PBE) data for a relaxed Mg5Mo crystal, as listed in Alexandria via LeMat-Bulk.

```
data_Mg5Mo
_cell_length_a 7.9937
_cell_length_b 7.9937
_cell_length_c 7.9937
_cell_angle_alpha 90.00
_cell_angle_beta 90.00
_cell_angle_gamma 90.00
_space_group_name_H-M_alt 'F -4 3 m'
_space_group_IT_number 216
_space_group_name_Hall 'F -4 2 3'
loop_
_atom_site_label
_atom_site_fract_x
_atom_site_fract_y
_atom_site_fract_z
Mg1 0.0000 0.0000 0.0000
Mg2 0.1244 0.1244 0.3756
Mo1 0.2500 0.2500 0.7500
```



First-principles (PBE) data for a relaxed MgMo crystal, as listed in Alexandria via LeMat-Bulk.

```
data_MgMo
_cell_length_a 3.2449
_cell_length_b 3.2449
_cell_length_c 3.2449
_cell_angle_alpha 90.00
_cell_angle_beta 90.00
_cell_angle_gamma 90.00
_space_group_name_H-M_alt 'P m -3 m'
_space_group_IT_number 221
_space_group_name_Hall '-P 4 2 3'
loop_
_atom_site_label
_atom_site_fract_x
_atom_site_fract_y
_atom_site_fract_z
Mg1 0.0000 0.0000 0.0000
Mo1 0.5000 0.5000 0.5000
```



First-principles (PBE) data for a relaxed MgMo crystal, as listed in Alexandria via LeMat-Bulk.

```
data_MgMo
_cell_length_a 2.8441
_cell_length_b 2.8441
_cell_length_c 14.7465
_cell_angle_alpha 90.00
_cell_angle_beta 90.00
_cell_angle_gamma 120.00
_space_group_name_H-M_alt 'R -3 m'
_space_group_IT_number 166
_space_group_name_Hall '-R 3 2"'
loop_
_atom_site_label
_atom_site_fract_x
_atom_site_fract_y
_atom_site_fract_z
Mg1 0.0000 0.0000 0.0000
Mo1 0.0000 0.0000 0.5000
```



First-principles (PBE) data for a relaxed Mg4Mo crystal, as listed in Alexandria via LeMat-Bulk.

```
data_Mg4Mo
_cell_length_a 6.8030
_cell_length_b 6.8030
_cell_length_c 4.2709
_cell_angle_alpha 90.00
_cell_angle_beta 90.00
_cell_angle_gamma 90.00
_space_group_name_H-M_alt 'I 4/m'
_space_group_IT_number 87
_space_group_name_Hall '-I 4'
loop_
_atom_site_label
_atom_site_fract_x
_atom_site_fract_y
_atom_site_fract_z
Mg1 0.1050 0.2894 0.0000
Mo1 0.0000 0.0000 0.5000
```



First-principles (PBE) data for a relaxed MgMo3 crystal, as listed in Alexandria via LeMat-Bulk.

```
data_MgMo3
_cell_length_a 5.7867
_cell_length_b 5.7867
_cell_length_c 4.6270
_cell_angle_alpha 90.00
_cell_angle_beta 90.00
_cell_angle_gamma 120.00
_space_group_name_H-M_alt 'P 63/m m c'
_space_group_IT_number 194
_space_group_name_Hall '-P 6c 2c'
loop_
_atom_site_label
_atom_site_fract_x
_atom_site_fract_y
_atom_site_fract_z
Mg1 0.3333 0.6667 0.2500
Mo1 0.1533 0.3066 0.7500
```



First-principles (PBE) data for a relaxed Mg8Mo crystal, as listed in Alexandria via LeMat-Bulk.

```
data_Mg8Mo
_cell_length_a 10.4925
_cell_length_b 10.4925
_cell_length_c 3.4192
_cell_angle_alpha 90.00
_cell_angle_beta 90.00
_cell_angle_gamma 90.00
_space_group_name_H-M_alt 'I 4/m m m'
_space_group_IT_number 139
_space_group_name_Hall '-I 4 2'
loop_
_atom_site_label
_atom_site_fract_x
_atom_site_fract_y
_atom_site_fract_z
Mg1 0.0000 0.3306 0.0000
Mg2 0.1556 0.1556 0.5000
Mo1 0.0000 0.0000 0.0000
```



Number 1: Fermi-level density of states 8.2 states/eV per cell, spin magnetization 0.00 μB per atom, energy relative to the elements 0.230 eV/atom. Number 2: Fermi-level density of states 16.5 states/eV per cell, spin magnetization 0.09 μB per atom, energy relative to the elements 0.455 eV/atom. Number 3: Fermi-level density of states 2.6 states/eV per cell, spin magnetization 0.00 μB per atom, energy relative to the elements 0.215 eV/atom. Number 4: Fermi-level density of states 3.0 states/eV per cell, spin magnetization 0.00 μB per atom, energy relative to the elements 0.406 eV/atom. Number 5: Fermi-level density of states 7.1 states/eV per cell, spin magnetization 0.00 μB per atom, energy relative to the elements 0.496 eV/atom. Number 6: Fermi-level density of states 7.0 states/eV per cell, spin magnetization 0.00 μB per atom, energy relative to the elements 0.416 eV/atom. Number 7: Fermi-level density of states 12.0 states/eV per cell, spin magnetization 0.00 μB per atom, energy relative to the elements 0.286 eV/atom. Number 8: Fermi-level density of states 14.9 states/eV per cell, spin magnetization 0.59 μB per atom, energy relative to the elements 0.462 eV/atom. Number 9: Fermi-level density of states 2.7 states/eV per cell, spin magnetization 0.33 μB per atom, energy relative to the elements 0.818 eV/atom. Number 10: Fermi-level density of states 2.7 states/eV per cell, spin magnetization 0.00 μB per atom, energy relative to the elements 0.414 eV/atom. Number 11: Fermi-level density of states 7.8 states/eV per cell, spin magnetization 0.26 μB per atom, energy relative to the elements 0.325 eV/atom. Number 12: Fermi-level density of states 6.4 states/eV per cell, spin magnetization 0.00 μB per atom, energy relative to the elements 0.356 eV/atom. Number 13: Fermi-level density of states 10.6 states/eV per cell, spin magnetization 0.00 μB per atom, energy relative to the elements 0.176 eV/atom.